Computed, not measured: a relaxed Cr2HgSb crystal at the PBE level of DFT.

Unit cell a=8.387 b=8.387 c=8.387 alpha=23.17 beta=23.17 gamma=23.17
Atoms (fractional coordinates):
Cr: 0.248 0.248 0.248
Cr: 0.752 0.752 0.752
Hg: 0.000 0.000 0.000
Sb: 0.500 0.500 0.500

Results
E_form (uncorrected) ... 0.511 eV/atom
Energy above the most stable polymorph in this dataset ... 0.89 eV/f.u.
N(E_F) ... 2.842 states/eV/f.u.
Total DFT energy (no corrections) ... -21.63 eV per cell



Computed, not measured: a relaxed Pr6NdTm2 crystal at the PBE level of DFT.

Unit cell a=8.341 b=8.341 c=10.557 alpha=90.00 beta=90.00 gamma=90.00
Atoms (fractional coordinates):
Pr: 0.238 0.238 0.000
Pr: 0.239 0.239 0.334
Pr: 0.239 0.239 0.666
Pr: 0.261 0.739 0.166
Pr: 0.261 0.739 0.834
Pr: 0.262 0.738 0.500
Pr: 0.738 0.262 0.500
Pr: 0.739 0.261 0.166
Pr: 0.739 0.261 0.834
Pr: 0.761 0.761 0.334
Pr: 0.761 0.761 0.666
Pr: 0.762 0.762 0.000
Nd: 0.000 0.000 0.500
Nd: 0.500 0.500 0.000
Tm: 0.000 0.000 0.164
Tm: 0.000 0.000 0.836
Tm: 0.500 0.500 0.336
Tm: 0.500 0.500 0.664

Results
ΔE_f ... 0.59 eV/atom
Energy above the most stable polymorph in this dataset ... 4.38 eV/f.u.
N(E_F) ... 15.460 states/eV/f.u.
Total DFT energy (no corrections) ... -74.19 eV per cell



Computed, not measured: a relaxed K2PbAu crystal at the PBE level of DFT.

Unit cell a=10.847 b=10.847 c=10.847 alpha=21.32 beta=21.32 gamma=21.32
Atoms (fractional coordinates):
K: 0.239 0.239 0.239
K: 0.761 0.761 0.761
Pb: 0.000 0.000 0.000
Au: 0.500 0.500 0.500

Results
ΔE_f ... -0.05 eV/atom
N(E_F) ... 1.803 states/eV/f.u.
Total DFT energy (no corrections) ... -9.39 eV per cell